The following is a meta-GGA SCAN calculation of a crystal of ZrCuH8O4F6 relaxed with PBEsol, from Alexandria via LeMat-Bulk.

Geometry as POSCAR:
```
ZrCuH8O4F6
1.0
5.673 0.009 0.000
-1.554 7.325 0.000
0.000 0.000 9.832
H Cu F Zr O
16 2 12 2 8
Direct
0.228 0.294 0.366
0.225 0.304 0.650
0.237 0.985 0.212
0.237 0.485 0.288
0.782 0.506 0.277
0.228 0.794 0.134
0.763 0.015 0.788
0.772 0.706 0.634
0.775 0.696 0.350
0.775 0.196 0.150
0.225 0.804 0.850
0.772 0.206 0.866
0.763 0.515 0.712
0.218 0.494 0.723
0.218 0.994 0.777
0.782 0.006 0.223
0.000 0.000 0.000
0.000 0.500 0.500
0.359 0.630 0.848
0.641 0.370 0.152
0.641 0.870 0.348
0.275 0.581 0.137
0.725 0.419 0.863
0.254 0.278 0.960
0.275 0.081 0.363
0.746 0.722 0.040
0.359 0.130 0.652
0.725 0.919 0.637
0.746 0.222 0.460
0.254 0.778 0.540
0.500 0.000 0.500
0.500 0.500 0.000
0.874 0.601 0.338
0.762 0.573 0.620
0.874 0.101 0.162
0.238 0.927 0.120
0.126 0.899 0.838
0.238 0.427 0.380
0.762 0.073 0.880
0.126 0.399 0.662
```

The calculation puts the mass density at 2.77 g cm⁻³. Its density of states at the Fermi level is 0.00 states/eV/cell. The calculated total energy comes out at -7.91 eV per atom.